# 1
Computed, not measured: a geometry-optimized TbSc3Sb2 structure at the GGA-PBE level of DFT.

Output
Density of states at the Fermi level: 9.8 states/eV/cell
Magnetic moment: 0.374 μB per formula unit
Crystal system: monoclinic
Formation energy (no corrections): -0.670 eV/atom
E_tot: -5.982 eV/atom

Cell and atoms, written as CIF:
```
data_TbSc3Sb2
_symmetry_space_group_name_H-M 'P 1'
_symmetry_Int_Tables_number 1
_symmetry_space_group_name_Hall 'P 1'
_cell_length_a 4.262
_cell_length_b 9.942
_cell_length_c 8.868
_cell_angle_alpha 123.36
_cell_angle_beta 90.00
_cell_angle_gamma 102.38
loop_
_atom_site_label
_atom_site_fract_x
_atom_site_fract_y
_atom_site_fract_z
Tb1 0.889 0.779 0.902
Tb2 0.111 0.221 0.098
Sc1 0.309 0.618 0.514
Sc2 0.935 0.870 0.548
Sc3 0.645 0.290 0.804
Sc4 0.355 0.710 0.196
Sc5 0.065 0.130 0.452
Sc6 0.691 0.382 0.486
Sb1 0.489 0.978 0.808
Sb2 0.511 0.022 0.192
Sb3 0.753 0.507 0.225
Sb4 0.247 0.493 0.775
```

=====

# 2
Computed, not measured: a geometry-optimized Tb2ScSb3 structure at the GGA-PBE level of DFT.

Output
Density of states at the Fermi level: 1.3 states/eV/cell
Magnetic moment: 0.000 μB per formula unit
Crystal system: orthorhombic
Formation energy (no corrections): -1.061 eV/atom
E_tot: -5.721 eV/atom

Cell and atoms, written as CIF:
```
data_Tb2ScSb3
_symmetry_space_group_name_H-M 'P 1'
_symmetry_Int_Tables_number 1
_symmetry_space_group_name_Hall 'P 1'
_cell_length_a 4.325
_cell_length_b 6.140
_cell_length_c 7.489
_cell_angle_alpha 114.20
_cell_angle_beta 106.78
_cell_angle_gamma 90.00
loop_
_atom_site_label
_atom_site_fract_x
_atom_site_fract_y
_atom_site_fract_z
Tb1 0.669 0.169 0.339
Tb2 0.331 0.831 0.661
Sc1 0.000 0.500 0.000
Sb1 0.342 0.342 0.684
Sb2 0.000 0.000 0.000
Sb3 0.658 0.658 0.316
```

=====

# 3
Computed, not measured: a geometry-optimized Tb2ScSb2 structure at the GGA-PBE level of DFT.

Output
Density of states at the Fermi level: 7.6 states/eV/cell
Magnetic moment: 0.629 μB per formula unit
Crystal system: orthorhombic
Formation energy (no corrections): -0.810 eV/atom
E_tot: -5.577 eV/atom

Cell and atoms, written as CIF:
```
data_Tb2ScSb2
_symmetry_space_group_name_H-M 'P 1'
_symmetry_Int_Tables_number 1
_symmetry_space_group_name_Hall 'P 1'
_cell_length_a 6.177
_cell_length_b 8.077
_cell_length_c 7.767
_cell_angle_alpha 121.33
_cell_angle_beta 113.43
_cell_angle_gamma 90.00
loop_
_atom_site_label
_atom_site_fract_x
_atom_site_fract_y
_atom_site_fract_z
Tb1 0.851 0.703 0.702
Tb2 0.149 0.297 0.298
Tb3 0.649 0.001 0.298
Tb4 0.351 0.999 0.702
Sc1 0.750 0.500 0.000
Sc2 0.250 0.500 0.000
Sb1 0.392 0.664 0.785
Sb2 0.608 0.336 0.215
Sb3 0.108 0.880 0.215
Sb4 0.892 0.120 0.785
```